P) This record from Alexandria describes a relaxed BeHgP2 crystal. The functional is PBE.

**M_tot**: 0.0 μB per cell
**SG**: C2/m, No. 12
**Crystal system**: monoclinic

Cell: 4.6917 4.4163 4.2081 Å, 73.50 68.76 111.01°
Last column: nearest neighbours and their distance in Å.
Element x y z (fractional)
1 P 0.5000 0.0000 0.5000  2 P 2.52, 2 Hg 2.58, 2 Be 2.58
2 Hg 0.5000 0.5000 0.0000  2 Be 2.52, 4 P 2.58
3 P 0.0000 0.0000 0.0000  2 P 2.52, 2 Be 2.58, 2 Hg 2.58
4 Be 0.0000 0.5000 0.5000  2 Hg 2.52, 4 P 2.58

Q) This record from Alexandria describes a relaxed BeHgP2 crystal. The functional is PBE.

**M_tot**: 0.0 μB per cell
**SG**: C2/m, No. 12
**Crystal system**: monoclinic

Cell: 5.4401 5.4401 4.3620 Å, 101.11 101.11 35.26°
Last column: nearest neighbours and their distance in Å.
Element x y z (fractional)
1 P 0.5384 0.5384 0.6249  1 Be 2.15, 2 P 2.21
2 P 0.9616 0.9616 0.8751  1 Be 2.15, 2 P 2.21
3 Be 0.7500 0.7500 0.7500  2 P 2.15
4 Hg 0.2500 0.2500 0.2500  4 Be 2.73

Most stable structure: Q)

P) This record from Alexandria describes a relaxed BeSiHgP2 crystal. The functional is PBE.

**M_tot**: 0.0 μB per cell
**SG**: P4/mmm, No. 123
**Crystal system**: tetragonal

Cell: 4.7293 4.1913 4.7293 Å, 90.00 90.00 90.00°
Last column: nearest neighbours and their distance in Å.
Element x y z (fractional)
1 P 0.5000 0.0000 0.0000  2 Si 2.36
2 Be 0.0000 0.5000 0.0000  2 Si 2.10
3 Si 0.0000 0.0000 0.0000  2 Be 2.10
4 Hg 0.5000 0.5000 0.5000  8 P 3.16, 4 Be 3.34
5 P 0.0000 0.0000 0.5000  2 Si 2.36

Q) This record from Alexandria describes a relaxed BeSiHgP2 crystal. The functional is PBE.

**M_tot**: 0.0 μB per cell
**SG**: P4/mmm, No. 123
**Crystal system**: tetragonal

Cell: 5.0466 4.3148 5.0466 Å, 90.00 90.00 90.00°
Last column: nearest neighbours and their distance in Å.
Element x y z (fractional)
1 Hg 0.0000 0.0000 0.0000  2 Be 2.16
2 Si 0.5000 0.5000 0.5000  8 P 3.32, 4 Be 3.57
3 P 0.5000 0.0000 0.0000  2 Hg 2.52
4 P 0.0000 0.0000 0.5000  2 Hg 2.52
5 Be 0.0000 0.5000 0.0000  2 Hg 2.16

Most stable structure: P)

P) This record from Alexandria describes a relaxed BeHg2Pb2 crystal. The functional is PBE.

**M_tot**: 0.0 μB per cell
**SG**: I4/mmm, No. 139
**Crystal system**: tetragonal

Cell: 4.4208 4.4208 8.3097 Å, 74.57 74.57 90.00°
Last column: nearest neighbours and their distance in Å.
Element x y z (fractional)
1 Pb 0.2500 0.7500 0.5000  4 Pb 3.13, 4 Hg 3.30
2 Be 0.0000 0.0000 0.0000  8 Hg 3.42
3 Hg 0.5907 0.5907 0.8185  1 Hg 2.79
4 Hg 0.4093 0.4093 0.1815  1 Hg 2.79
5 Pb 0.7500 0.2500 0.5000  4 Pb 3.13, 4 Hg 3.30

Q) This record from Alexandria describes a relaxed BeHg2Pb2 crystal. The functional is PBE.

**M_tot**: 0.0 μB per cell
**SG**: P4/mbm, No. 127
**Crystal system**: tetragonal

Cell: 6.6595 6.6595 5.7212 Å, 90.00 90.00 90.00°
Last column: nearest neighbours and their distance in Å.
Element x y z (fractional)
1 Pb 0.1782 0.6782 0.5000  2 Hg 3.20, 5 Pb 3.36-3.46
2 Hg 0.3317 0.8317 0.0000  2 Be 2.48
3 Pb 0.6782 0.8218 0.5000  2 Hg 3.20, 5 Pb 3.36-3.46
4 Hg 0.1683 0.3317 0.0000  2 Be 2.48
5 Pb 0.3218 0.1782 0.5000  2 Hg 3.20, 5 Pb 3.36-3.46
6 Hg 0.8317 0.6683 0.0000  2 Be 2.48
7 Be 0.0000 0.0000 0.0000  4 Hg 2.48
8 Be 0.5000 0.5000 0.0000  4 Hg 2.48
9 Pb 0.8218 0.3218 0.5000  2 Hg 3.20, 5 Pb 3.36-3.46
10 Hg 0.6683 0.1683 0.0000  2 Be 2.48

Most stable structure: Q)

P) This record from Alexandria describes a relaxed BeHg2Pb crystal. The functional is PBE.

**M_tot**: 0.0 μB per cell
**SG**: I-42d, No. 122
**Crystal system**: tetragonal

Cell: 5.0938 5.0938 8.8666 Å, 73.31 73.31 90.00°
Last column: nearest neighbours and their distance in Å.
Element x y z (fractional)
1 Hg 0.2406 0.6250 0.2500  2 Be 2.49
2 Pb 0.7500 0.2500 0.5000  4 Hg 3.03
3 Hg 0.8750 0.7594 0.7500  2 Be 2.49
4 Hg 0.3750 0.4906 0.7500  2 Be 2.49
5 Be 0.5000 0.5000 0.0000  4 Hg 2.49
6 Hg 0.5094 0.1250 0.2500  2 Be 2.49
7 Be 0.2500 0.7500 0.5000  4 Hg 2.49
8 Pb 0.0000 0.0000 0.0000  4 Hg 3.03

Q) This record from Alexandria describes a relaxed BeHg2Pb crystal. The functional is PBE.

**M_tot**: 0.0 μB per cell
**SG**: Immm, No. 71
**Crystal system**: orthorhombic

Cell: 5.7653 5.7653 5.7894 Å, 59.80 59.80 34.03°
Last column: nearest neighbours and their distance in Å.
Element x y z (fractional)
1 Hg 0.9471 0.9471 0.0521  2 Be 2.50
2 Pb 0.7500 0.7500 0.7500  8 Hg 3.30-3.44, 4 Be 3.35, 2 Pb 3.37
3 Hg 0.5529 0.5529 0.4479  2 Be 2.50
4 Be 0.2500 0.2500 0.2500  4 Hg 2.50

R) This record from Alexandria describes a relaxed BeHg2Pb crystal. The functional is PBE.

**M_tot**: 0.0 μB per cell
**SG**: Cmmm, No. 65
**Crystal system**: orthorhombic

Cell: 3.5482 5.4431 5.4458 Å, 61.78 90.00 90.00°
Last column: nearest neighbours and their distance in Å.
Element x y z (fractional)
1 Hg 0.0000 0.9389 0.9391  2 Be 2.50
2 Pb 0.5000 0.2500 0.2500  2 Be 2.80
3 Hg 0.0000 0.5611 0.5609  2 Be 2.50
4 Be 0.5000 0.7500 0.7500  4 Hg 2.50, 2 Pb 2.80

Most stable structure: R)

P) This record from Alexandria describes a relaxed BeHg2Pb crystal. The functional is PBE.

**M_tot**: 0.0 μB per cell
**SG**: Cmmm, No. 65
**Crystal system**: orthorhombic

Cell: 5.4458 5.4458 3.5975 Å, 90.00 90.00 117.34°
Last column: nearest neighbours and their distance in Å.
Element x y z (fractional)
1 Hg 0.0000 0.0000 0.0000  2 Hg 2.83
2 Pb 0.5000 0.0000 0.5000  2 Be 2.83
3 Be 0.0000 0.5000 0.5000  2 Pb 2.83
4 Hg 0.5000 0.5000 0.0000  2 Hg 2.83

Q) This record from Alexandria describes a relaxed BeHg2Pb crystal. The functional is PBE.

**M_tot**: 0.0 μB per cell
**SG**: Fm-3m, No. 225
**Crystal system**: cubic

Cell: 5.1043 5.1043 5.1043 Å, 60.00 60.00 60.00°
Last column: nearest neighbours and their distance in Å.
Element x y z (fractional)
1 Hg 0.2500 0.2500 0.2500  4 Pb 3.13, 4 Be 3.13
2 Be 0.0000 0.0000 0.0000  8 Hg 3.13
3 Pb 0.5000 0.5000 0.5000  8 Hg 3.13
4 Hg 0.7500 0.7500 0.7500  4 Pb 3.13, 4 Be 3.13

Most stable structure: P)

P) This record from Alexandria describes a relaxed BeHg2Pb crystal. The functional is PBE.

**M_tot**: 0.0 μB per cell
**SG**: F-43m, No. 216
**Crystal system**: cubic

Cell: 5.1028 5.1028 5.1028 Å, 60.00 60.00 60.00°
Last column: nearest neighbours and their distance in Å.
Element x y z (fractional)
1 Hg 0.0000 0.0000 0.0000  4 Hg 3.12, 4 Pb 3.12
2 Be 0.5000 0.5000 0.5000  4 Pb 3.12, 4 Hg 3.12
3 Pb 0.7500 0.7500 0.7500  4 Hg 3.12, 4 Be 3.12
4 Hg 0.2500 0.2500 0.2500  4 Be 3.12, 4 Hg 3.12

Q) This record from Alexandria describes a relaxed BeHg2Pb crystal. The functional is PBE.

**M_tot**: 0.0 μB per cell
**SG**: R-3m, No. 166
**Crystal system**: trigonal

Cell: 8.7848 8.7848 8.7848 Å, 22.95 22.95 22.95°
Last column: nearest neighbours and their distance in Å.
Element x y z (fractional)
1 Be 0.7500 0.7500 0.7500  6 Hg 2.56
2 Hg 0.4780 0.4780 0.4780  3 Be 2.56
3 Hg 0.0220 0.0220 0.0220  3 Be 2.56
4 Pb 0.2500 0.2500 0.2500  6 Hg 3.37, 6 Pb 3.50

R) This record from Alexandria describes a relaxed BeHg2Pb crystal. The functional is PBE.

**M_tot**: 0.0 μB per cell
**SG**: C2/m, No. 12
**Crystal system**: monoclinic

Cell: 6.3419 4.5879 3.7087 Å, 88.35 73.62 110.69°
Last column: nearest neighbours and their distance in Å.
Element x y z (fractional)
1 Pb 0.5000 0.5000 0.0000  4 Be 2.91-2.99, 4 Hg 3.19
2 Hg 0.0000 0.5000 0.5000  4 Hg 2.91-2.99, 2 Pb 3.19, 2 Be 3.19
3 Hg 0.0000 0.0000 0.0000  4 Hg 2.91-2.99, 2 Be 3.19, 2 Pb 3.19
4 Be 0.5000 0.0000 0.5000  4 Pb 2.91-2.99, 4 Hg 3.19

Most stable structure: Q)

P) This record from Alexandria describes a relaxed BeHg2Pb crystal. The functional is PBE.

**M_tot**: 0.0 μB per cell
**SG**: Cm, No. 8
**Crystal system**: monoclinic

Cell: 4.7092 4.7092 6.5482 Å, 71.97 71.97 43.08°
Last column: nearest neighbours and their distance in Å.
Element x y z (fractional)
1 Hg 0.9431 0.9431 0.1275  3 Be 2.51-2.55
2 Hg 0.7537 0.7537 0.7989  2 Be 2.62
3 Be 0.2344 0.2344 0.1069  5 Hg 2.51-2.62
4 Pb 0.5687 0.5687 0.4668  2 Be 2.89, 1 Hg 3.11

Q) This record from Alexandria describes a relaxed BeHg2Pb crystal. The functional is PBE.

**M_tot**: 0.0 μB per cell
**SG**: Cmmm, No. 65
**Crystal system**: orthorhombic

Cell: 3.4277 3.4277 9.4159 Å, 90.00 90.00 122.17°
Last column: nearest neighbours and their distance in Å.
Element x y z (fractional)
1 Be 0.5000 0.5000 0.7500  4 Hg 2.46
2 Pb 0.5000 0.5000 0.2500  6 Pb 3.31-3.43, 4 Hg 3.33
3 Hg 0.0000 0.0000 0.9432  2 Be 2.46
4 Hg 0.0000 0.0000 0.5568  2 Be 2.46

Most stable structure: P)

P) This record from Alexandria describes a relaxed BeHg2Pb crystal. The functional is PBE.

**M_tot**: 0.0 μB per cell
**SG**: Pmmm, No. 47
**Crystal system**: orthorhombic

Cell: 3.4345 4.7800 5.8282 Å, 90.00 90.00 90.00°
Last column: nearest neighbours and their distance in Å.
Element x y z (fractional)
1 Hg 0.5000 0.5000 0.0000  4 Hg 2.94
2 Be 0.0000 0.5000 0.5000  4 Pb 2.94
3 Hg 0.0000 0.0000 0.0000  4 Hg 2.94
4 Pb 0.5000 0.0000 0.5000  4 Be 2.94

Q) This record from Alexandria describes a relaxed BeHg2Pb crystal. The functional is PBE.

**M_tot**: 0.0 μB per cell
**SG**: P4/mmm, No. 123
**Crystal system**: tetragonal

Cell: 3.2262 3.2262 8.4103 Å, 90.00 90.00 90.00°
Last column: nearest neighbours and their distance in Å.
Element x y z (fractional)
1 Hg 0.0000 0.0000 0.5662  4 Be 2.76
2 Be 0.5000 0.5000 0.7500  8 Hg 2.76
3 Hg 0.0000 0.0000 0.9338  4 Be 2.76
4 Pb 0.5000 0.5000 0.2500  4 Pb 3.23, 8 Hg 3.50

Most stable structure: Q)

P) This record from Alexandria describes a relaxed BeHg3Pb crystal. The functional is PBE.

**M_tot**: 0.0 μB per cell
**SG**: Pm-3m, No. 221
**Crystal system**: cubic

Cell: 4.9231 4.9231 4.9231 Å, 90.00 90.00 90.00°
Last column: nearest neighbours and their distance in Å.
Element x y z (fractional)
1 Hg 0.0000 0.0000 0.5000  2 Be 2.46
2 Hg 0.0000 0.5000 0.0000  2 Be 2.46
3 Be 0.0000 0.0000 0.0000  6 Hg 2.46
4 Pb 0.5000 0.5000 0.5000  12 Hg 3.48
5 Hg 0.5000 0.0000 0.0000  2 Be 2.46

Q) This record from Alexandria describes a relaxed BeHg3Pb crystal. The functional is PBE.

**M_tot**: 0.0 μB per cell
**SG**: Pm-3m, No. 221
**Crystal system**: cubic

Cell: 6.0445 6.0445 6.0445 Å, 90.00 90.00 90.00°
Last column: nearest neighbours and their distance in Å.
Element x y z (fractional)
1 Hg 0.5000 0.0000 0.0000  2 Pb 3.02
2 Hg 0.0000 0.5000 0.0000  2 Pb 3.02
3 Pb 0.0000 0.0000 0.0000  6 Hg 3.02
4 Be 0.5000 0.5000 0.5000  12 Hg 4.27
5 Hg 0.0000 0.0000 0.5000  2 Pb 3.02

Most stable structure: P)

P) This record from Alexandria describes a relaxed Pm2BeHg crystal. The functional is PBE.

**M_tot**: 0.0 μB per cell
**SG**: R-3m, No. 166
**Crystal system**: trigonal

Cell: 3.4554 3.4554 11.2915 Å, 81.20 81.20 60.00°
Last column: nearest neighbours and their distance in Å.
Element x y z (fractional)
1 Be 0.0000 0.0000 0.0000  2 Pm 2.99
2 Pm 0.0896 0.0896 0.7311  1 Be 2.99, 3 Hg 3.25
3 Pm 0.9104 0.9104 0.2689  1 Be 2.99, 3 Hg 3.25
4 Hg 0.5000 0.5000 0.5000  6 Pm 3.25, 6 Hg 3.46

Q) This record from Alexandria describes a relaxed Pm2BeHg crystal. The functional is PBE.

**M_tot**: 0.0 μB per cell
**SG**: P4/mmm, No. 123
**Crystal system**: tetragonal

Cell: 3.6101 3.6101 7.5191 Å, 90.00 90.00 90.00°
Last column: nearest neighbours and their distance in Å.
Element x y z (fractional)
1 Pm 0.0000 0.0000 0.7788  4 Be 3.05, 4 Hg 3.30, 1 Pm 3.33
2 Pm 0.0000 0.0000 0.2212  4 Be 3.05, 4 Hg 3.30, 1 Pm 3.33
3 Hg 0.5000 0.5000 0.5000  8 Pm 3.30, 4 Hg 3.61
4 Be 0.5000 0.5000 0.0000  8 Pm 3.05

Most stable structure: Q)

P) This record from Alexandria describes a relaxed BeHg2Pt crystal. The functional is PBE.

**M_tot**: 0.0 μB per cell
**SG**: C2/m, No. 12
**Crystal system**: monoclinic

Cell: 5.3420 5.3434 5.3466 Å, 141.66 132.98 62.09°
Last column: nearest neighbours and their distance in Å.
Element x y z (fractional)
1 Hg 0.0424 0.0422 0.0002  2 Be 2.59, 2 Pt 2.86, 4 Hg 2.86-2.87
2 Pt 0.7500 0.2500 0.5000  4 Be 2.76-2.77, 4 Hg 2.86
3 Be 0.2500 0.7500 0.5000  4 Hg 2.59, 4 Pt 2.76-2.77
4 Hg 0.4576 0.4578 0.9998  2 Be 2.59, 2 Pt 2.86, 4 Hg 2.86-2.87

Q) This record from Alexandria describes a relaxed BeHg2Pt crystal. The functional is PBE.

**M_tot**: 0.0 μB per cell
**SG**: Pmmm, No. 47
**Crystal system**: orthorhombic

Cell: 3.3688 3.6960 5.5934 Å, 90.00 90.00 90.00°
Last column: nearest neighbours and their distance in Å.
Element x y z (fractional)
1 Pt 0.5000 0.5000 0.2500  2 Be 2.80, 8 Hg 2.89
2 Be 0.5000 0.5000 0.7500  2 Pt 2.80, 8 Hg 2.84
3 Hg 0.0000 0.0000 0.9926  2 Hg 2.71-2.88, 4 Be 2.84, 4 Pt 2.89
4 Hg 0.0000 0.0000 0.5074  2 Hg 2.71-2.88, 4 Be 2.84, 4 Pt 2.89

R) This record from Alexandria describes a relaxed BeHg2Pt crystal. The functional is PBE.

**M_tot**: 0.0 μB per cell
**SG**: I-4m2, No. 119
**Crystal system**: tetragonal

Cell: 5.1049 5.1049 5.1049 Å, 133.61 133.61 67.69°
Last column: nearest neighbours and their distance in Å.
Element x y z (fractional)
1 Pt 0.5000 0.5000 0.0000  8 Hg 2.84-2.92, 4 Be 2.92
2 Hg 0.2500 0.7500 0.5000  4 Be 2.84, 4 Hg 2.92, 4 Pt 2.92
3 Be 0.7500 0.2500 0.5000  8 Hg 2.84-2.92, 4 Pt 2.92
4 Hg 0.0000 0.0000 0.0000  4 Pt 2.84, 4 Hg 2.92, 4 Be 2.92

S) This record from Alexandria describes a relaxed BeHg2Pt crystal. The functional is PBE.

**M_tot**: 0.0 μB per cell
**SG**: Cm, No. 8
**Crystal system**: monoclinic

Cell: 3.8373 3.8373 6.3349 Å, 71.90 71.90 60.15°
Last column: nearest neighbours and their distance in Å.
Element x y z (fractional)
1 Be 0.8068 0.8068 0.5836  3 Pt 2.24-2.25
2 Hg 0.0096 0.0096 0.9639  3 Pt 2.91, 3 Hg 3.00-3.04, 3 Be 3.15-3.16
3 Pt 0.4524 0.4524 0.6443  3 Be 2.24-2.25
4 Hg 0.2311 0.2311 0.3082  3 Be 2.73-2.76, 3 Pt 2.97-2.99, 3 Hg 3.00-3.04

Most stable structure: S)

P) This record from Alexandria describes a relaxed BeHg2Pt crystal. The functional is PBE.

**M_tot**: 0.0 μB per cell
**SG**: P4mm, No. 99
**Crystal system**: tetragonal

Cell: 2.9353 2.9353 8.5685 Å, 90.00 90.00 90.00°
Last column: nearest neighbours and their distance in Å.
Element x y z (fractional)
1 Pt 0.0000 0.0000 0.5710  4 Be 2.31
2 Be 0.5000 0.5000 0.6892  4 Pt 2.31
3 Hg 0.5000 0.5000 0.2884  4 Hg 2.94, 4 Pt 3.19
4 Hg 0.0000 0.0000 0.9514  4 Hg 2.94, 4 Be 3.06, 1 Pt 3.26

Q) This record from Alexandria describes a relaxed BeHg2Pt crystal. The functional is PBE.

**M_tot**: 0.0 μB per cell
**SG**: P2/m, No. 10
**Crystal system**: monoclinic

Cell: 3.7216 3.5164 6.0535 Å, 62.81 90.00 90.00°
Last column: nearest neighbours and their distance in Å.
Element x y z (fractional)
1 Hg 0.0000 0.9186 0.9866  2 Be 2.58, 2 Hg 2.74-2.85, 2 Pt 2.85
2 Pt 0.5000 0.2500 0.2500  2 Be 2.72, 8 Hg 2.85-3.01
3 Be 0.5000 0.7500 0.7500  4 Hg 2.58, 2 Pt 2.72
4 Hg 0.0000 0.5814 0.5134  2 Be 2.58, 2 Hg 2.74-2.85, 2 Pt 2.85

R) This record from Alexandria describes a relaxed BeHg2Pt crystal. The functional is PBE.

**M_tot**: 0.0 μB per cell
**SG**: Pm, No. 6
**Crystal system**: monoclinic

Cell: 3.6496 4.1607 5.3710 Å, 64.13 90.00 90.00°
Last column: nearest neighbours and their distance in Å.
Element x y z (fractional)
1 Be 0.5000 0.5514 0.7714  2 Pt 2.22
2 Hg 0.5000 0.2975 0.3001  1 Be 2.56
3 Pt 0.0000 0.6864 0.5112  2 Be 2.22
4 Hg 0.0000 0.9647 0.9173  3 Pt 2.84-2.88, 4 Be 2.84-2.87

Most stable structure: P)